Crystalline AsHRh2Se at its relaxed geometry. Source: the Alexandria database, functional GGA-PBE.

Values from the calculation:
Electronic total energy (eV per cell): -20.0
Total moment (μB per atom): 0.37

The structure in CIF format:
```
data_AsHRh2Se
_chemical_formula_sum 'As1 H1 Rh2 Se1'
_cell_length_a 4.609
_cell_length_b 4.609
_cell_length_c 5.042
_cell_angle_alpha 90.00
_cell_angle_beta 90.00
_cell_angle_gamma 90.00
_symmetry_space_group_name_H-M 'P 4/m m m'
_symmetry_Int_Tables_number 123
_symmetry_space_group_name_Hall '-P 4 2'
loop_
_atom_site_label
_atom_site_fract_x
_atom_site_fract_y
_atom_site_fract_z
As1 0.000 0.000 0.000
H1 0.500 0.500 0.000
Rh1 0.000 0.500 0.500
Se1 0.000 0.000 0.500
```

Crystalline As2HRhSe at its relaxed geometry. Source: the Alexandria database, functional GGA-PBE.

Values from the calculation:
Electronic total energy (eV per cell): -20.7
Total moment (μB per atom): 0.00
Offset from the most stable computed form (eV/f.u.): 0.00

The structure in CIF format:
```
data_As2HRhSe
_chemical_formula_sum 'As2 H1 Rh1 Se1'
_cell_length_a 3.946
_cell_length_b 3.946
_cell_length_c 4.821
_cell_angle_alpha 90.00
_cell_angle_beta 90.00
_cell_angle_gamma 90.00
_symmetry_space_group_name_H-M 'P 4/m m m'
_symmetry_Int_Tables_number 123
_symmetry_space_group_name_Hall '-P 4 2'
loop_
_atom_site_label
_atom_site_fract_x
_atom_site_fract_y
_atom_site_fract_z
As1 0.000 0.500 0.000
H1 0.000 0.000 0.000
Rh1 0.500 0.500 0.500
Se1 0.000 0.000 0.500
```

Crystalline As2HRhSe at its relaxed geometry. Source: the Alexandria database, functional GGA-PBE.

Values from the calculation:
Electronic total energy (eV per cell): -19.0
Total moment (μB per atom): 0.21
Offset from the most stable computed form (eV/f.u.): 1.71

The structure in CIF format:
```
data_As2HRhSe
_chemical_formula_sum 'As2 H1 Rh1 Se1'
_cell_length_a 4.717
_cell_length_b 4.717
_cell_length_c 5.194
_cell_angle_alpha 90.00
_cell_angle_beta 90.00
_cell_angle_gamma 90.00
_symmetry_space_group_name_H-M 'P 4/m m m'
_symmetry_Int_Tables_number 123
_symmetry_space_group_name_Hall '-P 4 2'
loop_
_atom_site_label
_atom_site_fract_x
_atom_site_fract_y
_atom_site_fract_z
As1 0.000 0.500 0.000
H1 0.000 0.000 0.500
Rh1 0.500 0.500 0.000
Se1 0.500 0.500 0.500
```

Crystalline SmAsHRh at its relaxed geometry. Source: the Alexandria database, functional GGA-PBE.

Values from the calculation:
Electronic total energy (eV per cell): -47.3
Total moment (μB per atom): 0.00

The structure in CIF format:
```
data_SmAsHRh
_chemical_formula_sum 'Sm2 As2 H2 Rh2'
_cell_length_a 4.071
_cell_length_b 4.071
_cell_length_c 7.495
_cell_angle_alpha 90.00
_cell_angle_beta 90.00
_cell_angle_gamma 90.00
_symmetry_space_group_name_H-M 'P 4/n m m'
_symmetry_Int_Tables_number 129
loop_
_symmetry_equiv_pos_as_xyz
'x,y,z'
'-x,-y,-z'
'-y+1/2,x,z'
'y+1/2,-x,-z'
'-x+1/2,-y+1/2,z'
'x+1/2,y+1/2,-z'
'y,-x+1/2,z'
'-y,x+1/2,-z'
'x+1/2,-y,-z'
'-x+1/2,y,z'
'-y,-x,-z'
'y,x,z'
'-x,y+1/2,-z'
'x,-y+1/2,z'
'y+1/2,x+1/2,-z'
'-y+1/2,-x+1/2,z'
loop_
_atom_site_label
_atom_site_fract_x
_atom_site_fract_y
_atom_site_fract_z
Sm1 0.250 0.250 0.161
As1 0.250 0.250 0.698
H1 0.250 0.750 0.000
Rh1 0.250 0.750 0.500
```

Crystalline SnAsH2Rh at its relaxed geometry. Source: the Alexandria database, functional GGA-PBE.

Values from the calculation:
Electronic total energy (eV per cell): -21.8
Total moment (μB per atom): 0.00

The structure in CIF format:
```
data_SnAsH2Rh
_chemical_formula_sum 'Sn1 As1 H2 Rh1'
_cell_length_a 3.821
_cell_length_b 3.821
_cell_length_c 4.938
_cell_angle_alpha 90.00
_cell_angle_beta 90.00
_cell_angle_gamma 90.00
_symmetry_space_group_name_H-M 'P 4/m m m'
_symmetry_Int_Tables_number 123
_symmetry_space_group_name_Hall '-P 4 2'
loop_
_atom_site_label
_atom_site_fract_x
_atom_site_fract_y
_atom_site_fract_z
Sn1 0.000 0.000 0.000
As1 0.500 0.500 0.000
H1 0.000 0.500 0.500
Rh1 0.500 0.500 0.500
```

Crystalline SrAsH2Rh at its relaxed geometry. Source: the Alexandria database, functional GGA-PBE.

Values from the calculation:
Electronic total energy (eV per cell): -92.7
Total moment (μB per atom): 0.00

The structure in CIF format:
```
data_SrAsH2Rh
_chemical_formula_sum 'Sr4 As4 H8 Rh4'
_cell_length_a 4.011
_cell_length_b 11.181
_cell_length_c 6.258
_cell_angle_alpha 90.00
_cell_angle_beta 90.00
_cell_angle_gamma 90.00
_symmetry_space_group_name_H-M 'C m c m'
_symmetry_Int_Tables_number 63
_symmetry_space_group_name_Hall '-C 2c 2'
loop_
_atom_site_label
_atom_site_fract_x
_atom_site_fract_y
_atom_site_fract_z
Sr1 0.000 0.209 0.250
As1 0.000 0.068 0.750
H1 0.000 0.352 0.549
Rh1 0.000 0.500 0.000
```

What is the total moment in the first record? 0.37 μB per atom

What is the electronic total energy in the third record? -19.0 eV per cell